# Li2CrAuO

A geometry-optimized Li2CrAuO structure (GGA+U, the Alexandria database).

abc: 4.0692 4.0692 4.0883
angles: 90.00 90.00 90.00
Sites, in units of the cell vectors:
Li  0.0000  0.5000  0.0000
Li  0.5000  0.0000  0.0000
Cr  0.0000  0.0000  0.5000
Au  0.5000  0.5000  0.5000
O  0.0000  0.0000  0.0000

Summary:
uncorrected energy	-4.909	eV/atom
space group	No. 123
theoretical density	6.84	g/cm³